7
Lattice="-3.7336 2.1190 0.7027 -2.1371 -3.7884 0.0687 -1.8366 -1.3220 7.6932" Properties=species:S:1:pos:R:3 comment="Mg4Sn2O PBE optimized geometry" energy_ry_per_atom=-0.2563 space_group=I4/mmm raw_formation_energy_ev_per_atom=-0.724 pbc="T T T"
Mg -5.5403 -1.8160 2.9691
Mg -2.1670 -1.1754 5.4955
Mg -1.0685 -1.8942 0.0344
Mg -1.8668 1.0595 0.3514
Sn -5.1039 -2.0095 5.8715
Sn -2.6035 -0.9819 2.5931
O 0.0000 0.0000 0.0000